No. 1
Compound: K2Rb4Pt
Source: Alexandria via LeMat-Bulk
Functional: PBE
Structure: relaxed

Cell: 17.5188 6.1757 8.7996 Å, 90.00 114.55 90.00°
Last column: nearest neighbours and their distance in Å.
Space group C2/m (No. 12)
Unique sites:
K 0.1897 0.0000 0.2872 (multiplicity 4)  1 Pt 3.23
Rb 0.0310 0.5000 0.2321 (multiplicity 4)  2 Pt 3.62, 1 Rb 3.77, 2 K 4.05
Rb 0.1295 0.0000 0.7877 (multiplicity 4)  1 Pt 3.49
Pt 0.0000 0.0000 0.0000 (multiplicity 2)  2 K 3.23, 6 Rb 3.49-3.62

Output
Energy above the most stable polymorph in this dataset = 0 meV/atom
Crystal system = monoclinic
Formation enthalpy at 0 K = 0.90 kcal/mol of atoms

No. 2
Compound: Ba2Zn2PtO6
Source: Alexandria via LeMat-Bulk
Functional: PBE
Structure: relaxed

Cell: 5.9437 5.9437 16.6955 Å, 90.00 90.00 120.00°
Last column: nearest neighbours and their distance in Å.
Space group R-3m (No. 166, hexagonal axes)
Unique sites:
Ba 0.0000 0.0000 0.2146 (multiplicity 6)  3 O 2.71
Zn 0.0000 0.0000 0.4042 (multiplicity 6)  3 O 1.88
Pt 0.0000 0.0000 0.0000 (multiplicity 3)  6 O 2.06
O 0.0312 0.5156 0.7480 (multiplicity 18)  1 Zn 1.88, 1 Pt 2.06

Output
ΔE_f (raw) = -1.540 eV/atom
Crystal system = trigonal

What final energy values result from the calculations? In sequence: -23.7, -177.4 eV for the cell shown.